VASP calculation (PBE-GGA) on an optimized crystal structure of SrIr2Au.

Output
ΔE_f in meV per atom: 141
Relative energy among the computed polymorphs in eV per atom: 0.007
Energy in eV per atom: -5.529

Cell: 8.6770 2.9409 6.7368 Å, 90.00 98.90 90.00°
Space group Cm (No. 8)
One atom of each set of equivalent atoms:
Sr  0.0000  0.0000  0.0000
Ir  0.2472  0.5000  0.3295
Ir  0.4878  0.0000  0.4313
Au  0.2327  0.0000  0.6930